Record 1
An optimized crystal structure of CrRe2Rh, computed with PBE-GGA.

a = 4.6928 Å, b = 4.6928 Å, c = 4.7079 Å
α = 99.44°, β = 99.44°, γ = 33.55°
Last column: nearest neighbours and their distance in Å.
Element x y z (fractional)
Cr: 0.0000 0.0000 0.0000  6 Re 2.70-2.71, 2 Cr 2.71, 4 Rh 2.72
Re: 0.2500 0.2500 0.7536  6 Re 2.69-2.75, 3 Cr 2.70-2.71, 3 Rh 2.72
Re: 0.7500 0.7500 0.2464  6 Re 2.69-2.75, 3 Cr 2.70-2.71, 3 Rh 2.72
Rh: 0.5000 0.5000 0.5000  2 Rh 2.71, 4 Cr 2.72, 6 Re 2.72

Summary:
SG	C2/m (12)
E above lowest polymorph	0.041	eV per atom
electronic total energy	-10.413	eV per atom

***

Record 2
An optimized crystal structure of CrRe2Rh, computed with PBE-GGA.

a = 2.7027 Å, b = 2.7027 Å, c = 7.6533 Å
α = 90.00°, β = 90.00°, γ = 90.00°
Last column: nearest neighbours and their distance in Å.
Element x y z (fractional)
Cr: 0.0000 0.0000 0.0000  8 Re 2.64, 4 Cr 2.70
Re: 0.5000 0.5000 0.2377  4 Cr 2.64, 4 Re 2.70, 4 Rh 2.77
Re: 0.5000 0.5000 0.7623  4 Cr 2.64, 4 Re 2.70, 4 Rh 2.77
Rh: 0.0000 0.0000 0.5000  4 Rh 2.70, 8 Re 2.77

Summary:
SG	P4/mmm (123)
E above lowest polymorph	0.023	eV per atom
electronic total energy	-10.430	eV per atom